DFT (PBE) results for an optimized crystal structure of CaPrNd2.

Cell: 3.719 3.719 10.665 Å, 90.00 90.00 90.00°
Sites, in units of the cell vectors:
Pr (0.500, 0.500, 0.000)
Ca (0.500, 0.500, 0.500)
Nd (0.000, 0.000, 0.763)
Nd (0.000, 0.000, 0.237)

Summary:
The crystal system is tetragonal. Its symmetry is No. 123. The excess energy over the best structure of this formula in the dataset is 4.5 meV/atom.



DFT (PBE) results for an optimized crystal structure of CaPr5Nd.

Cell: 5.155 5.155 10.183 Å, 90.00 90.00 90.00°
Sites, in units of the cell vectors:
Ca (0.000, 0.000, 0.000)
Pr (0.500, 0.500, 0.000)
Pr (0.500, 0.000, 0.265)
Pr (0.000, 0.500, 0.265)
Pr (0.500, 0.000, 0.735)
Pr (0.000, 0.500, 0.735)
Nd (0.000, 0.000, 0.500)

Summary:
The crystal system is tetragonal. The electronic total energy is -4.083 eV/atom. Its symmetry is No. 123.



Number 1: Fermi-level density of states 5.74 states/eV/f.u.. Number 2: Fermi-level density of states 12.07 states/eV/f.u..